First-principles (GGA-PBE) data for an optimized crystal structure of LaSmC, as listed in Alexandria.

Summary:
- space group = No. 11
- uncorrected energy (eV per formula unit) = -19.281
- DOS(E_F) (states/eV/atom) = 0.694

Geometry as POSCAR:
```
LaSmC
1.0
3.681 0.000 0.000
0.000 6.306 1.002
0.000 -1.087 6.612
Sm La C
2 2 2
direct
0.750 0.917 0.293
0.250 0.083 0.707
0.750 0.586 0.717
0.250 0.414 0.283
0.750 0.244 0.501
0.250 0.756 0.499
```


First-principles (GGA-PBE) data for an optimized crystal structure of La2SmSnC, as listed in Alexandria.

Summary:
- space group = No. 123
- uncorrected energy (eV per formula unit) = -30.264
- DOS(E_F) (states/eV/atom) = 0.565

Geometry as POSCAR:
```
La2SmSnC
1.0
5.083 0.000 0.000
0.000 5.200 0.000
0.000 0.000 5.200
La Sn Sm C
2 1 1 1
direct
0.000 0.000 0.500
0.000 0.500 0.000
0.500 0.500 0.500
0.500 0.000 0.000
0.000 0.000 0.000
```


ΔE_f per entry: -0.1369, -0.4926 eV/atom